The following is a DFT calculation (PBE) of a relaxed SrCoPt3 crystal.

The structure in POSCAR format:
```
SrCoPt3
1.0
4.7120 0.0000 0.0000
0.0000 4.7120 0.0000
0.0000 0.0000 4.7120
Sr Co Pt
1 1 3
direct
0.0000 0.0000 0.0000 Sr
0.5000 0.5000 0.5000 Co
0.0000 0.5000 0.5000 Pt
0.5000 0.0000 0.5000 Pt
0.5000 0.5000 0.0000 Pt
```

DFT total energy	-5.35	eV per atom
density of states at the Fermi level	4.40	states/eV/f.u.
mass density	11.615	Mg/m³